The following is a PBE-GGA calculation of an optimized crystal structure of PrDy2Y, from Alexandria.

The structure in POSCAR format:
```
PrDy2Y
1.0
6.146 0.665 0.763
0.194 5.945 1.811
1.695 3.875 8.533
Pr Dy Y
2 4 2
direct
0.198 0.047 0.796
0.704 0.169 0.420
0.699 0.921 0.171
0.699 0.422 0.671
0.203 0.795 0.545
0.203 0.296 0.045
0.200 0.548 0.295
0.702 0.669 0.921
```

Values from the calculation:
total magnetic moment	0.00	μB per atom
distance to the lowest polymorph of the same formula	0.013	eV per atom
DFT formation energy	0.020	eV per atom